First-principles (PBE) data for a relaxed structure of MgTc2H, as listed in Alexandria.

Computed properties:
As for the crystal system: tetragonal. The space group is I4_1/amd, No. 141. The total moment comes out at 0.00 μB per formula unit. The value obtained for the total energy is -47.584 eV per cell.

a = 5.678 Å, b = 5.678 Å, c = 5.678 Å
α = 125.82°, β = 125.82°, γ = 80.18°
Positions (direct):
1 Mg 0.375 0.625 0.750
2 Mg 0.625 0.375 0.250
3 Tc 0.000 0.000 0.000
4 Tc 0.000 0.000 0.500
5 Tc 0.000 0.500 0.000
6 Tc 0.500 0.000 0.500
7 H 0.125 0.875 0.250
8 H 0.875 0.125 0.750